{"formula": "Co2CuRuO6", "functional": "PBE with a Hubbard U", "state": "relaxed", "lattice": [[2.488, 1.436, 4.484], [-2.488, 1.436, 4.484], [0.000, -2.873, 4.484]], "species": ["Co", "Co", "Cu", "Ru", "O", "O", "O", "O", "O", "O"], "frac_coords": [[0.000, 0.000, 0.000], [0.496, 0.496, 0.496], [0.294, 0.294, 0.294], [0.801, 0.801, 0.801], [0.101, 0.390, 0.716], [0.213, 0.878, 0.611], [0.390, 0.716, 0.101], [0.611, 0.213, 0.878], [0.716, 0.101, 0.390], [0.878, 0.611, 0.213]], "energy_ev_per_cell": -60.9, "sg": "R3", "magnetic_moment_mub_per_atom": 0.07}

{"formula": "CoCuSO2", "functional": "PBE with a Hubbard U", "state": "relaxed", "lattice": [[3.512, 0.000, 0.000], [0.000, 3.512, 0.000], [0.000, 0.000, 5.526]], "species": ["Co", "Cu", "S", "O", "O"], "frac_coords": [[0.000, 0.000, 0.000], [0.500, 0.500, 0.500], [0.000, 0.000, 0.500], [0.000, 0.500, 0.000], [0.500, 0.000, 0.000]], "energy_ev_per_cell": -23.7, "sg": "P4/mmm", "magnetic_moment_mub_per_atom": 0.73}